A geometry-optimized Ac12DySn6 structure, computed with PBE.

Values from the calculation:
VASP energy: -0.1597 Ha/atom
N(E_F): 80.0 states/eV per cell
Energy of formation: -245 meV per atom

```
data_Ac12DySn6
_space_group_name_H-M_alt 'R -3'
_space_group_IT_number 148
_space_group_name_Hall '-R 3'
_cell_length_a 15.9587
_cell_length_b 15.9587
_cell_length_c 10.7006
_cell_angle_alpha 90.00
_cell_angle_beta 90.00
_cell_angle_gamma 120.00
loop_
_atom_site_label
_atom_site_type_symbol
_atom_site_fract_x
_atom_site_fract_y
_atom_site_fract_z
Ac1 Ac 0.0498 0.1949 0.3083
Ac2 Ac 0.0556 0.2491 0.9288
Dy1 Dy 0.0000 0.0000 0.0000
Sn1 Sn 0.0567 0.2523 0.6076
```


A geometry-optimized Ac3DySn3 structure, computed with PBE.

Values from the calculation:
VASP energy: -0.1692 Ha/atom
N(E_F): 18.7 states/eV per cell
Energy of formation: -472 meV per atom

```
data_Ac3DySn3
_space_group_name_H-M_alt 'C 1 2/m 1'
_space_group_IT_number 12
_cell_length_a 9.163
_cell_length_b 13.872
_cell_length_c 8.555
_cell_angle_alpha 90.00
_cell_angle_beta 94.43
_cell_angle_gamma 90.00
loop_
_space_group_symop_operation_xyz
'x,y,z'
'-x,-y,-z'
'-x,y,-z'
'x,-y,z'
'x+1/2,y+1/2,z'
'-x+1/2,-y+1/2,-z'
'-x+1/2,y+1/2,-z'
'x+1/2,-y+1/2,z'
loop_
_atom_site_label
_atom_site_type_symbol
_atom_site_fract_x
_atom_site_fract_y
_atom_site_fract_z
Ac1 Ac 0.000 0.162 0.000
Ac2 Ac 0.000 0.231 0.500
Ac3 Ac 0.112 0.500 0.845
Dy1 Dy 0.239 0.000 0.601
Sn1 Sn 0.068 0.000 0.290
Sn2 Sn 0.184 0.329 0.203
```


A geometry-optimized AcDyTlSn structure, computed with PBE.

Values from the calculation:
VASP energy: -0.1546 Ha/atom
N(E_F): 12.8 states/eV per cell
Energy of formation: -436 meV per atom

```
data_AcDyTlSn
_space_group_name_H-M_alt 'F -4 3 m'
_space_group_IT_number 216
_space_group_name_Hall 'F -4 2 3'
_cell_length_a 7.919
_cell_length_b 7.919
_cell_length_c 7.919
_cell_angle_alpha 90.00
_cell_angle_beta 90.00
_cell_angle_gamma 90.00
loop_
_atom_site_label
_atom_site_type_symbol
_atom_site_fract_x
_atom_site_fract_y
_atom_site_fract_z
Ac1 Ac 0.000 0.000 0.000
Dy1 Dy 0.000 0.000 0.500
Tl1 Tl 0.250 0.250 0.750
Sn1 Sn 0.250 0.250 0.250
```


A geometry-optimized AcDyTmSn structure, computed with PBE.

Values from the calculation:
VASP energy: -0.1629 Ha/atom
N(E_F): 25.8 states/eV per cell
Energy of formation: -137 meV per atom

```
data_AcDyTmSn
_space_group_name_H-M_alt 'F -4 3 m'
_space_group_IT_number 216
_space_group_name_Hall 'F -4 2 3'
_cell_length_a 7.816
_cell_length_b 7.816
_cell_length_c 7.816
_cell_angle_alpha 90.00
_cell_angle_beta 90.00
_cell_angle_gamma 90.00
loop_
_atom_site_label
_atom_site_type_symbol
_atom_site_fract_x
_atom_site_fract_y
_atom_site_fract_z
Ac1 Ac 0.000 0.000 0.000
Dy1 Dy 0.250 0.250 0.750
Tm1 Tm 0.250 0.250 0.250
Sn1 Sn 0.000 0.000 0.500
```


A geometry-optimized AcDy2Zn2Sn2 structure, computed with PBE.

Values from the calculation:
VASP energy: -0.1383 Ha/atom
N(E_F): 22.4 states/eV per cell
Energy of formation: -354 meV per atom

```
data_AcDy2Zn2Sn2
_space_group_name_H-M_alt 'R -3 m'
_space_group_IT_number 166
_space_group_name_Hall '-R 3 2"'
_cell_length_a 4.7406
_cell_length_b 4.7406
_cell_length_c 28.9994
_cell_angle_alpha 90.00
_cell_angle_beta 90.00
_cell_angle_gamma 120.00
loop_
_atom_site_label
_atom_site_type_symbol
_atom_site_fract_x
_atom_site_fract_y
_atom_site_fract_z
Ac1 Ac 0.0000 0.0000 0.0000
Dy1 Dy 0.0000 0.0000 0.1339
Zn1 Zn 0.0000 0.0000 0.4280
Sn1 Sn 0.0000 0.0000 0.2595
```


A geometry-optimized AcDyZn2Sn2 structure, computed with PBE.

Values from the calculation:
VASP energy: -0.1379 Ha/atom
N(E_F): 4.8 states/eV per cell
Energy of formation: -542 meV per atom

```
data_AcDyZn2Sn2
_space_group_name_H-M_alt 'P -3 m 1'
_space_group_IT_number 164
_space_group_name_Hall '-P 3 2"'
_cell_length_a 4.5532
_cell_length_b 4.5532
_cell_length_c 8.6736
_cell_angle_alpha 90.00
_cell_angle_beta 90.00
_cell_angle_gamma 120.00
loop_
_atom_site_label
_atom_site_type_symbol
_atom_site_fract_x
_atom_site_fract_y
_atom_site_fract_z
Ac1 Ac 0.0000 0.0000 0.0000
Dy1 Dy 0.0000 0.0000 0.5000
Zn1 Zn 0.3333 0.6667 0.6935
Sn1 Sn 0.3333 0.6667 0.2609
```


A geometry-optimized SrAc4Dy structure, computed with PBE.

Values from the calculation:
VASP energy: -0.1285 Ha/atom
N(E_F): 38.6 states/eV per cell
E above lowest polymorph: 138 kJ/mol of formula units
Energy of formation: 291 meV per atom

```
data_SrAc4Dy
_space_group_name_H-M_alt 'F -4 3 m'
_space_group_IT_number 216
_space_group_name_Hall 'F -4 2 3'
_cell_length_a 10.373
_cell_length_b 10.373
_cell_length_c 10.373
_cell_angle_alpha 90.00
_cell_angle_beta 90.00
_cell_angle_gamma 90.00
loop_
_atom_site_label
_atom_site_type_symbol
_atom_site_fract_x
_atom_site_fract_y
_atom_site_fract_z
Sr1 Sr 0.000 0.000 0.000
Ac1 Ac 0.123 0.123 0.377
Dy1 Dy 0.250 0.250 0.750
```


A geometry-optimized SrAcDy2 structure, computed with PBE.

Values from the calculation:
VASP energy: -0.1283 Ha/atom
N(E_F): 20.3 states/eV per cell
E above lowest polymorph: 40 kJ/mol of formula units
Energy of formation: 258 meV per atom

```
data_SrAcDy2
_space_group_name_H-M_alt 'R -3 m'
_space_group_IT_number 166
_space_group_name_Hall '-R 3 2"'
_cell_length_a 3.7234
_cell_length_b 3.7234
_cell_length_c 39.2947
_cell_angle_alpha 90.00
_cell_angle_beta 90.00
_cell_angle_gamma 120.00
loop_
_atom_site_label
_atom_site_type_symbol
_atom_site_fract_x
_atom_site_fract_y
_atom_site_fract_z
Sr1 Sr 0.0000 0.0000 0.0000
Ac1 Ac 0.0000 0.0000 0.5000
Dy1 Dy 0.0000 0.0000 0.0908
```